1.
4
Lattice="-2.516 0.588 1.347 -2.140 -3.309 -2.553 1.953 -3.867 3.376" Properties=species:S:1:pos:R:3 comment="Ta2PbW | the Alexandria database | SCAN | PBEsol geometry" delta_e_f_kj_per_mol_fu=156 total_magnetization_mub_per_atom=0.000 pbc="T T T"
Ta -2.374 -2.256 0.596
Ta -2.478 0.539 1.379
W -0.220 -1.544 2.185
Pb -0.428 -4.380 1.718

2.
8
Lattice="5.790 0.000 0.000 0.000 7.209 0.000 0.000 -3.605 6.243" Properties=species:S:1:pos:R:3 comment="Nd3Y | the Alexandria database | SCAN | PBEsol geometry" delta_e_f_kj_per_mol_fu=10 total_magnetization_mub_per_atom=0.000 pbc="T T T"
Y 4.342 0.000 4.162
Y 1.447 3.605 2.081
Nd 1.447 0.000 2.081
Nd 4.342 1.803 1.041
Nd 4.342 3.605 4.162
Nd 1.447 -1.802 5.203
Nd 1.447 1.802 5.203
Nd 4.342 5.407 1.041